1.
BaLi2Hg | PBEsol | relaxed

abc: 4.082 4.430 6.910
angles: 90.00 106.40 90.00
Element x y z (fractional)
Hg1 0.093 0.500 0.807
Li1 0.739 0.500 0.109
Li2 0.196 0.000 0.030
Ba1 0.472 0.000 0.554

Output
E_tot: -1.89 eV per atom
Density of states at the Fermi level: 2.60 states/eV/f.u.
Formation energy from the elements: -88 kJ/mol of formula units



2.
TcHI2 | PBEsol | relaxed

abc: 4.622 4.622 4.622
angles: 60.00 60.00 60.00
Element x y z (fractional)
Tc1 0.500 0.500 0.500
I1 0.250 0.250 0.250
I2 0.750 0.750 0.750
H1 0.000 0.000 0.000

Output
E_tot: -3.70 eV per atom
Density of states at the Fermi level: 1.50 states/eV/f.u.



3.
PmY3 | PBEsol | relaxed

abc: 4.981 4.981 6.091
angles: 114.13 114.13 90.00
Element x y z (fractional)
Y1 0.500 0.500 0.000
Y2 0.250 0.750 0.500
Pm1 0.000 0.000 0.000
Y3 0.750 0.250 0.500

Output
E_tot: -6.39 eV per atom
Density of states at the Fermi level: 5.57 states/eV/f.u.
Distance to the lowest polymorph of the same formula: 0.02 eV/f.u.
Formation energy from the elements: 6 kJ/mol of formula units